Entry 1:
Entry from Alexandria via LeMat-Bulk: crystalline Ho5NiTe4 at its relaxed geometry (PBE).

abc: 6.0678 7.4318 7.4318
angles: 80.41 65.91 65.91
Last column: nearest neighbours and their distance in Å.
Element x y z (fractional)
Ni 0.0011 0.0000 0.0000  4 Ho 2.63
Ho 0.5009 0.0000 0.0000  2 Ni 3.03-3.04, 4 Te 3.09
Ho 0.9076 0.3513 0.8357  1 Ni 2.63
Ho 0.0945 0.6487 0.1643  1 Ni 2.63
Ho 0.7432 0.1643 0.3513  1 Ni 2.63
Ho 0.2588 0.8357 0.6487  1 Ni 2.63
Te 0.8115 0.7752 0.6040  6 Ho 3.08-3.28
Te 0.5866 0.6040 0.2248  6 Ho 3.08-3.28
Te 0.1906 0.2248 0.3960  6 Ho 3.08-3.28
Te 0.4155 0.3960 0.7752  6 Ho 3.08-3.28

Values from the calculation:
Formation energy from raw total energies: -1.10 eV per atom
Density of states at the Fermi level: 8.84 states/eV per cell
Total magnetization: 0.0 μB/f.u.



Entry 2:
Entry from Alexandria via LeMat-Bulk: crystalline Ho4NiTe3 at its relaxed geometry (PBE).

abc: 4.1176 7.5208 7.5208
angles: 107.97 90.00 90.00
Last column: nearest neighbours and their distance in Å.
Element x y z (fractional)
Ni 0.5000 0.0000 0.0000  6 Ho 2.75-2.79
Ho 0.0000 0.2062 0.2062  2 Ni 2.75, 2 Te 3.07
Ho 0.0000 0.7938 0.7938  2 Ni 2.75, 2 Te 3.07
Ho 0.5000 0.7704 0.2296  1 Ni 2.79, 4 Te 3.03
Ho 0.5000 0.2296 0.7704  1 Ni 2.79, 4 Te 3.03
Te 0.0000 0.5000 0.0000  6 Ho 3.03-3.07
Te 0.5000 0.5000 0.5000  6 Ho 3.29-3.32
Te 0.0000 0.0000 0.5000  6 Ho 3.03-3.07

Values from the calculation:
Formation energy from raw total energies: -1.04 eV per atom
Density of states at the Fermi level: 4.56 states/eV per cell
Total magnetization: 0.0 μB/f.u.



Entry 3:
Entry from Alexandria via LeMat-Bulk: crystalline HoNiTe at its relaxed geometry (PBE).

abc: 4.0358 4.2391 4.2391
angles: 120.00 90.00 90.00
Last column: nearest neighbours and their distance in Å.
Element x y z (fractional)
Ni 0.2057 0.6667 0.3333  3 Te 2.46
Ho 0.6497 0.3333 0.6667  6 Ni 3.03-3.32, 6 Te 3.16-3.19
Te 0.1446 0.0000 0.0000  3 Ni 2.46

Values from the calculation:
Formation energy from raw total energies: -0.83 eV per atom
Density of states at the Fermi level: 1.80 states/eV per cell
Total magnetization: 0.0 μB/f.u.



Entry 4:
Entry from Alexandria via LeMat-Bulk: crystalline Ho2NiTe at its relaxed geometry (PBE).

abc: 4.0832 4.0832 7.4607
angles: 74.12 74.12 60.00
Last column: nearest neighbours and their distance in Å.
Element x y z (fractional)
Te 0.5006 0.5006 0.4982  6 Ho 3.16-3.17, 1 Ni 3.50
Ho 0.0677 0.0677 0.7969  3 Ni 2.78
Ho 0.2665 0.2665 0.2006  3 Ni 2.74
Ni 0.6652 0.6652 0.0043  6 Ho 2.74-2.78

Values from the calculation:
ΔE to the lowest computed polymorph: 0.49 kcal/mol of atoms
Formation energy from raw total energies: -0.81 eV per atom
Density of states at the Fermi level: 1.19 states/eV per cell
Total magnetization: 0.0 μB/f.u.



Entry 5:
Entry from Alexandria via LeMat-Bulk: crystalline Ho2NiTe at its relaxed geometry (PBE).

abc: 4.3466 4.0058 11.4109
angles: 100.11 90.00 90.00
Last column: nearest neighbours and their distance in Å.
Element x y z (fractional)
Ho 0.7500 0.6562 0.3125  1 Ni 2.78, 4 Te 3.08
Ho 0.2500 0.0559 0.1119  6 Ni 2.82-3.00, 1 Te 3.13
Ho 0.7500 0.9441 0.8881  6 Ni 2.82-3.00, 1 Te 3.13
Ho 0.2500 0.3438 0.6875  1 Ni 2.78, 4 Te 3.08
Ni 0.2500 0.4675 0.9350  2 Ni 2.62, 3 Ho 2.78-2.82
Ni 0.7500 0.5325 0.0650  2 Ni 2.62, 3 Ho 2.78-2.82
Te 0.2500 0.1953 0.3907  6 Ho 3.08-3.33
Te 0.7500 0.8047 0.6093  6 Ho 3.08-3.33

Values from the calculation:
ΔE to the lowest computed polymorph: 0.00 kcal/mol of atoms
Formation energy from raw total energies: -0.83 eV per atom
Density of states at the Fermi level: 6.66 states/eV per cell
Total magnetization: 0.0 μB/f.u.



Entry 6:
Entry from Alexandria via LeMat-Bulk: crystalline Ho4NiTe2 at its relaxed geometry (PBE).

abc: 4.0678 6.9774 8.1365
angles: 115.87 104.48 90.00
Last column: nearest neighbours and their distance in Å.
Element x y z (fractional)
Ni 0.0000 0.0000 0.0000  6 Ho 2.71-2.72
Ho 0.1028 0.7767 0.2056  1 Ni 2.71
Ho 0.8972 0.2233 0.7944  1 Ni 2.71
Ho 0.3977 0.7411 0.7953  2 Ni 2.72
Ho 0.6023 0.2589 0.2047  2 Ni 2.72
Te 0.7432 0.7443 0.4865  6 Ho 3.09-3.18
Te 0.2568 0.2557 0.5135  6 Ho 3.09-3.18

Values from the calculation:
Formation energy from raw total energies: -0.79 eV per atom
Density of states at the Fermi level: 4.92 states/eV per cell
Total magnetization: 0.0 μB/f.u.